This record from Alexandria describes an optimized crystal structure of Ca2TeOsPt. The functional is PBEsol.

Cell: 5.354 5.354 4.926 Å, 90.00 90.00 90.00°
Space group P4/mmm (No. 123)
Unique sites:
Ca1 0.000 0.500 0.000
Te1 0.000 0.000 0.500
Os1 0.500 0.500 0.500
Pt1 0.000 0.000 0.000

crystal system: tetragonal
uncorrected formation energy: 0.680 eV/atom
density: 6.974 g/cm3


This record from Alexandria describes an optimized crystal structure of Mg2BiAsO6. The functional is PBEsol.

Cell: 7.928 12.278 5.413 Å, 90.00 90.00 90.00°
Space group Cmcm (No. 63)
Unique sites:
Mg1 0.196 0.091 0.250
Bi1 0.000 0.406 0.250
As1 0.000 0.197 0.750
O1 0.000 0.116 0.007
O2 0.169 0.500 0.000
O3 0.179 0.271 0.750

crystal system: orthorhombic
uncorrected formation energy: -1.899 eV/atom
density: 5.401 g/cm3


This record from Alexandria describes an optimized crystal structure of K4TiSn3P4O20. The functional is PBEsol.

Cell: 6.512 10.775 13.120 Å, 90.00 90.25 90.00°
Space group P2_1 (No. 4)
Unique sites:
K1 0.197 0.000 0.111
K2 0.221 0.241 0.869
K3 0.277 0.240 0.380
K4 0.294 0.993 0.604
Ti1 0.001 0.445 0.632
Sn1 0.248 0.695 0.751
Sn2 0.262 0.694 0.256
Sn3 0.500 0.446 0.127
P1 0.004 0.447 0.177
P2 0.153 0.695 0.500
P3 0.340 0.696 0.001
P4 0.498 0.449 0.679
O1 0.007 0.584 0.518
O2 0.024 0.814 0.482
O3 0.026 0.836 0.750
O4 0.028 0.562 0.247
O5 0.028 0.570 0.726
O6 0.046 0.826 0.272
O7 0.182 0.970 0.895
O8 0.188 0.426 0.106
O9 0.197 0.675 0.908
O10 0.202 0.716 0.095
O11 0.295 0.719 0.594
O12 0.302 0.668 0.410
O13 0.303 0.429 0.615
O14 0.313 0.967 0.390
O15 0.471 0.820 0.763
O16 0.473 0.838 0.247
O17 0.477 0.814 0.989
O18 0.480 0.563 0.751
O19 0.491 0.585 0.013
O20 0.496 0.581 0.231

crystal system: monoclinic
uncorrected formation energy: -2.237 eV/atom
density: 3.623 g/cm3


This record from Alexandria describes an optimized crystal structure of NbInC2. The functional is PBEsol.

Cell: 5.001 5.001 9.792 Å, 90.00 90.00 90.00°
Space group I-42d (No. 122)
Unique sites:
Nb1 0.000 0.000 0.000
In1 0.000 0.000 0.500
C1 0.218 0.250 0.125

crystal system: tetragonal
energy of formation from the pure elements: 574 meV/atom
density: 6.284 g/cm3


Going through the records in order, we get D(E_F) values of 6.02 0.00 0.00 0.11 states/eV/f.u..